Run A
This record from Alexandria describes a relaxed structure of ZrAgTe2N. The functional is PBE.

Values from the calculation:
Symmetry: P4/mmm, No. 123
Size of the total moment (μB per cell): 0.00

Cell lengths 5.8386, 5.8386, 3.9690 Å; angles 90.00, 90.00, 90.00 degrees
Last column: nearest neighbours and their distance in Å.
Element x y z (fractional)
Te 0.0000 0.5000 0.0000  2 Zr 2.92
Te 0.5000 0.0000 0.0000  2 Zr 2.92
Zr 0.0000 0.0000 0.0000  2 N 1.98
Ag 0.5000 0.5000 0.5000  8 Te 3.53
N 0.0000 0.0000 0.5000  2 Zr 1.98

Run B
This record from Alexandria describes a relaxed structure of ZrAgTe2N. The functional is PBE.

Values from the calculation:
Symmetry: P4/mmm, No. 123
Size of the total moment (μB per cell): 2.59

Cell lengths 5.5153, 5.5153, 3.9430 Å; angles 90.00, 90.00, 90.00 degrees
Last column: nearest neighbours and their distance in Å.
Element x y z (fractional)
Te 0.0000 0.5000 0.0000  2 Ag 2.76
Te 0.5000 0.0000 0.0000  2 Ag 2.76
Zr 0.5000 0.5000 0.5000  8 Te 3.39
Ag 0.0000 0.0000 0.0000  2 N 1.97
N 0.0000 0.0000 0.5000  2 Ag 1.97

Stability check: which of them is most stable? run A.

Run A
This record from Alexandria describes a relaxed structure of Ti3AgN. The functional is PBE.

Values from the calculation:
Symmetry: Pm-3m, No. 221
Size of the total moment (μB per cell): 0.00

Cell lengths 4.1543, 4.1543, 4.1543 Å; angles 90.00, 90.00, 90.00 degrees
Last column: nearest neighbours and their distance in Å.
Element x y z (fractional)
N 0.0000 0.0000 0.0000  6 Ti 2.08
Ag 0.5000 0.5000 0.5000  12 Ti 2.94
Ti 0.0000 0.5000 0.0000  2 N 2.08
Ti 0.0000 0.0000 0.5000  2 N 2.08
Ti 0.5000 0.0000 0.0000  2 N 2.08

Run B
This record from Alexandria describes a relaxed structure of Ti3AgN. The functional is PBE.

Values from the calculation:
Symmetry: Pm-3m, No. 221
Size of the total moment (μB per cell): 2.54

Cell lengths 4.8364, 4.8364, 4.8364 Å; angles 90.00, 90.00, 90.00 degrees
Last column: nearest neighbours and their distance in Å.
Element x y z (fractional)
N 0.5000 0.5000 0.5000  12 Ti 3.42
Ag 0.0000 0.0000 0.0000  6 Ti 2.42
Ti 0.0000 0.5000 0.0000  2 Ag 2.42
Ti 0.0000 0.0000 0.5000  2 Ag 2.42
Ti 0.5000 0.0000 0.0000  2 Ag 2.42

Stability check: which of them is most stable? run A.

Run A
This record from Alexandria describes a relaxed structure of TlAg2N. The functional is PBE.

Values from the calculation:
Symmetry: Fm-3m, No. 225
Size of the total moment (μB per cell): 0.00

Cell lengths 4.6135, 4.6135, 4.6135 Å; angles 60.00, 60.00, 60.00 degrees
Last column: nearest neighbours and their distance in Å.
Element x y z (fractional)
Tl 0.5000 0.5000 0.5000  8 Ag 2.83
Ag 0.2500 0.2500 0.2500  4 Tl 2.83, 4 N 2.83
Ag 0.7500 0.7500 0.7500  4 Tl 2.83, 4 N 2.83
N 0.0000 0.0000 0.0000  8 Ag 2.83

Run B
This record from Alexandria describes a relaxed structure of TlAg2N. The functional is PBE.

Values from the calculation:
Symmetry: I-42d, No. 122
Size of the total moment (μB per cell): 0.00

Cell lengths 5.7549, 5.7549, 7.0944 Å; angles 66.07, 66.07, 90.00 degrees
Last column: nearest neighbours and their distance in Å.
Element x y z (fractional)
Tl 0.0000 0.0000 0.0000  8 Ag 3.35-3.71
Tl 0.7500 0.2500 0.5000  8 Ag 3.35-3.71
Ag 0.4136 0.1250 0.2500  2 N 2.06
Ag 0.3364 0.6250 0.2500  2 N 2.06
Ag 0.3750 0.5864 0.7500  2 N 2.06
Ag 0.8750 0.6636 0.7500  2 N 2.06
N 0.5000 0.5000 0.0000  4 Ag 2.06
N 0.2500 0.7500 0.5000  4 Ag 2.06

Stability check: which of them is most stable? run B.

Run A
This record from Alexandria describes a relaxed structure of TlAgN2. The functional is PBE.

Values from the calculation:
Symmetry: P1, No. 1
Size of the total moment (μB per cell): 0.00

Cell lengths 5.8163, 3.1023, 8.3736 Å; angles 89.77, 82.00, 58.67 degrees
Last column: nearest neighbours and their distance in Å.
Element x y z (fractional)
Tl 0.2735 0.8977 0.1866  4 Ag 2.91-2.95, 2 Tl 3.10
Ag 0.7734 0.8974 0.1865  4 Tl 2.91-2.95, 2 Ag 3.10
N 0.9296 0.2146 0.6456  1 N 1.11
N 0.7224 0.4164 0.7199  1 N 1.11

Run B
This record from Alexandria describes a relaxed structure of TlAgN2. The functional is PBE.

Values from the calculation:
Symmetry: I-42d, No. 122
Size of the total moment (μB per cell): 0.00

Cell lengths 5.1319, 5.1319, 6.2956 Å; angles 65.95, 65.95, 90.00 degrees
Last column: nearest neighbours and their distance in Å.
Element x y z (fractional)
Tl 0.0000 0.0000 0.0000  4 N 2.30
Tl 0.7500 0.2500 0.5000  4 N 2.30
Ag 0.5000 0.5000 0.0000  4 N 2.15
Ag 0.2500 0.7500 0.5000  4 N 2.15
N 0.6008 0.1250 0.2500  2 Ag 2.15, 2 Tl 2.30
N 0.1492 0.6250 0.2500  2 Ag 2.15, 2 Tl 2.30
N 0.3750 0.3992 0.7500  2 Ag 2.15, 2 Tl 2.30
N 0.8750 0.8508 0.7500  2 Ag 2.15, 2 Tl 2.30

Run C
This record from Alexandria describes a relaxed structure of TlAgN2. The functional is PBE.

Values from the calculation:
Symmetry: R-3m, No. 166
Size of the total moment (μB per cell): 0.00

Cell lengths 6.7182, 6.7182, 6.7182 Å; angles 29.80, 29.80, 29.80 degrees
Last column: nearest neighbours and their distance in Å.
Element x y z (fractional)
Tl 0.5000 0.5000 0.5000  6 N 2.32
Ag 0.0000 0.0000 0.0000  2 N 2.03
N 0.8945 0.8945 0.8945  1 Ag 2.03
N 0.1055 0.1055 0.1055  1 Ag 2.03

Stability check: which of them is most stable? run A.

Run A
This record from Alexandria describes a relaxed structure of TlAg3N. The functional is PBE.

Values from the calculation:
Symmetry: Pm-3m, No. 221
Size of the total moment (μB per cell): 0.00

Cell lengths 4.5440, 4.5440, 4.5440 Å; angles 90.00, 90.00, 90.00 degrees
Last column: nearest neighbours and their distance in Å.
Element x y z (fractional)
Tl 0.5000 0.5000 0.5000  12 Ag 3.21
Ag 0.0000 0.5000 0.0000  2 N 2.27
Ag 0.0000 0.0000 0.5000  2 N 2.27
Ag 0.5000 0.0000 0.0000  2 N 2.27
N 0.0000 0.0000 0.0000  6 Ag 2.27

Run B
This record from Alexandria describes a relaxed structure of TlAg3N. The functional is PBE.

Values from the calculation:
Symmetry: Pm-3m, No. 221
Size of the total moment (μB per cell): 2.73

Cell lengths 5.4306, 5.4306, 5.4306 Å; angles 90.00, 90.00, 90.00 degrees
Last column: nearest neighbours and their distance in Å.
Element x y z (fractional)
Tl 0.0000 0.0000 0.0000  6 Ag 2.72
Ag 0.0000 0.5000 0.0000  2 Tl 2.72
Ag 0.0000 0.0000 0.5000  2 Tl 2.72
Ag 0.5000 0.0000 0.0000  2 Tl 2.72
N 0.5000 0.5000 0.5000  12 Ag 3.84

Stability check: which of them is most stable? run A.